DFT (PBE+U) results for a relaxed structure of Sr3Ta2CoO9.

The calculation puts the electronic total energy at -8.01 eV per atom. The calculation puts the size of the total moment at 3.00 μB per formula unit. For the density of states at the Fermi level, the calculation gives 0.000 states/eV per atom. Its crystal system is trigonal.

It has space group P-3m1 (No. 164), with a = 5.7115 Å, b = 5.7115 Å, c = 7.0483 Å, α = 90.00°, β = 90.00° and γ = 120.00°. Symmetry generates all atoms from Sr at (0.0000, 0.0000, 0.0000), Sr at (0.3333, 0.6667, 0.6594), Ta at (0.3333, 0.6667, 0.1770), Co at (0.0000, 0.0000, 0.5000), O at (0.0000, 0.5000, 0.0000) and O at (0.1697, 0.3395, 0.3267).